# Ac5Nd6Y2 (GGA-PBE, relaxed)
data_Ac5Nd6Y2
_chemical_formula_sum 'Ac10 Nd12 Y4'
_symmetry_space_group_name_H-M 'P b a m'
_symmetry_Int_Tables_number 55
_symmetry_space_group_name_Hall '-P 2 2ab'
_cell_length_a 12.058
_cell_length_b 22.060
_cell_length_c 3.825
_cell_angle_alpha 90.00
_cell_angle_beta 90.00
_cell_angle_gamma 90.00
loop_
_atom_site_label
_atom_site_type_symbol
_atom_site_fract_x
_atom_site_fract_y
_atom_site_fract_z
Ac1 Ac 0.000 0.000 0.000
Ac2 Ac 0.067 0.425 0.000
Ac3 Ac 0.146 0.723 0.000
Nd1 Nd 0.083 0.153 0.000
Nd2 Nd 0.163 0.881 0.500
Nd3 Nd 0.225 0.557 0.500
Y1 Y 0.116 0.284 0.500
# Formation energy from the elements: 1.0 eV per formula unit
# Energy: -122.2 eV/cell